No. 1
Crystalline HfCoNi at its relaxed geometry, computed with PBE-GGA.

a = 4.1007 Å, b = 4.1007 Å, c = 4.1007 Å
α = 60.00°, β = 60.00°, γ = 60.00°
Last column: nearest neighbours and their distance in Å.
Fractional positions:
Co  0.2500  0.2500  0.2500  4 Hf 2.51
Hf  0.0000  0.0000  0.0000  4 Co 2.51, 4 Ni 2.51
Ni  0.7500  0.7500  0.7500  4 Hf 2.51

## Properties
total DFT energy (no corrections)	-7.26	eV/atom
space-group type	F-43m (216)
formation energy	0.29	eV per atom

=====

No. 2
Crystalline BaCuNiSe3 at its relaxed geometry, computed with PBE-GGA.

a = 6.9663 Å, b = 6.9663 Å, c = 9.9880 Å
α = 90.00°, β = 90.00°, γ = 146.76°
Last column: nearest neighbours and their distance in Å.
Fractional positions:
Cu  0.9632  0.0368  0.7500  4 Se 2.38-2.42
Ba  0.7427  0.2573  0.2500  8 Se 3.29-3.39, 2 Cu 3.40
Ni  0.5000  0.5000  0.0000  6 Se 2.57-2.63
Ni  0.5000  0.5000  0.5000  6 Se 2.57-2.63
Se  0.1191  0.8809  0.4656  1 Cu 2.42, 2 Ni 2.57
Ba  0.2573  0.7427  0.7500  8 Se 3.29-3.39, 2 Cu 3.40
Se  0.4391  0.5609  0.2500  2 Cu 2.38, 2 Ni 2.63
Se  0.8809  0.1191  0.5344  1 Cu 2.42, 2 Ni 2.57
Se  0.1191  0.8809  0.0344  1 Cu 2.42, 2 Ni 2.57
Se  0.5609  0.4391  0.7500  2 Cu 2.38, 2 Ni 2.63
Se  0.8809  0.1191  0.9656  1 Cu 2.42, 2 Ni 2.57
Cu  0.0368  0.9632  0.2500  4 Se 2.38-2.42

## Properties
total DFT energy (no corrections)	-4.28	eV/atom
space-group type	Cmcm (63)

=====

No. 3
Crystalline Rb2AgBr3 at its relaxed geometry, computed with PBE-GGA.

a = 9.6856 Å, b = 4.6856 Å, c = 18.8512 Å
α = 90.00°, β = 90.00°, γ = 90.00°
Last column: nearest neighbours and their distance in Å.
Fractional positions:
Ag  0.8725  0.7500  0.8660  4 Br 2.71-2.75
Rb  0.5775  0.2500  0.7877  7 Br 3.48-3.63
Br  0.3801  0.2500  0.0717  1 Ag 2.71
Br  0.8801  0.2500  0.4283  1 Ag 2.71
Rb  0.7452  0.2500  0.0424  7 Br 3.40-3.65
Br  0.8135  0.7500  0.7245  1 Ag 2.73
Br  0.4963  0.7500  0.4011  2 Ag 2.75
Ag  0.3725  0.7500  0.6340  4 Br 2.71-2.75
Rb  0.2548  0.7500  0.9576  7 Br 3.40-3.65
Rb  0.2452  0.2500  0.4576  7 Br 3.40-3.65
Ag  0.1275  0.2500  0.1340  4 Br 2.71-2.75
Br  0.1865  0.2500  0.2755  1 Ag 2.73
Br  0.6199  0.7500  0.9283  1 Ag 2.71
Br  0.0037  0.2500  0.9011  2 Ag 2.75
Rb  0.4225  0.7500  0.2123  7 Br 3.48-3.63
Br  0.9963  0.7500  0.0989  2 Ag 2.75
Ag  0.6275  0.2500  0.3660  4 Br 2.71-2.75
Br  0.1199  0.7500  0.5717  1 Ag 2.71
Rb  0.0775  0.2500  0.7123  7 Br 3.48-3.63
Rb  0.7548  0.7500  0.5424  7 Br 3.40-3.65
Br  0.6865  0.2500  0.2245  1 Ag 2.73
Rb  0.9225  0.7500  0.2877  7 Br 3.48-3.63
Br  0.3135  0.7500  0.7755  1 Ag 2.73
Br  0.5037  0.2500  0.5989  2 Ag 2.75

## Properties
total DFT energy (no corrections)	-2.93	eV/atom
space-group type	Pnma (62)

=====

No. 4
Crystalline RbScBAu at its relaxed geometry, computed with PBE-GGA.

a = 4.7745 Å, b = 4.7745 Å, c = 4.7745 Å
α = 60.00°, β = 60.00°, γ = 60.00°
Last column: nearest neighbours and their distance in Å.
Fractional positions:
Sc  0.2500  0.2500  0.2500  4 Rb 2.92, 4 B 2.92
Rb  0.5000  0.5000  0.5000  4 Au 2.92, 4 Sc 2.92
Au  0.7500  0.7500  0.7500  4 B 2.92, 4 Rb 2.92
B  0.0000  0.0000  0.0000  4 Au 2.92, 4 Sc 2.92

## Properties
total DFT energy (no corrections)	-3.34	eV/atom
space-group type	F-43m (216)

=====

No. 5
Crystalline RbSiAg at its relaxed geometry, computed with PBE-GGA.

a = 5.0835 Å, b = 5.0835 Å, c = 5.0835 Å
α = 60.00°, β = 60.00°, γ = 60.00°
Last column: nearest neighbours and their distance in Å.
Fractional positions:
Rb  0.2500  0.2500  0.2500  4 Ag 3.11
Ag  0.0000  0.0000  0.0000  4 Si 3.11, 4 Rb 3.11
Si  0.7500  0.7500  0.7500  4 Ag 3.11

## Properties
total DFT energy (no corrections)	-2.30	eV/atom
space-group type	F-43m (216)

=====

No. 6
Crystalline SmReBi at its relaxed geometry, computed with PBE-GGA.

a = 4.9587 Å, b = 4.9587 Å, c = 4.9587 Å
α = 60.00°, β = 60.00°, γ = 60.00°
Last column: nearest neighbours and their distance in Å.
Fractional positions:
Bi  0.2500  0.2500  0.2500  4 Sm 3.04
Sm  0.0000  0.0000  0.0000  4 Re 3.04, 4 Bi 3.04
Re  0.7500  0.7500  0.7500  4 Sm 3.04

## Properties
total DFT energy (no corrections)	-5.84	eV/atom
space-group type	F-43m (216)

=====

No. 7
Crystalline NaZrPO at its relaxed geometry, computed with PBE-GGA.

a = 3.6643 Å, b = 3.6643 Å, c = 9.3448 Å
α = 90.00°, β = 90.00°, γ = 90.00°
Last column: nearest neighbours and their distance in Å.
Fractional positions:
Zr  0.2500  0.2500  0.1310  4 O 2.20
O  0.2500  0.7500  0.0000  4 Zr 2.20
Na  0.7500  0.2500  0.5000  4 Na 2.59, 4 P 2.79
P  0.2500  0.2500  0.7256  4 Na 2.79, 4 Zr 2.92
P  0.7500  0.7500  0.2744  4 Na 2.79, 4 Zr 2.92
Na  0.2500  0.7500  0.5000  4 Na 2.59, 4 P 2.79
O  0.7500  0.2500  0.0000  4 Zr 2.20
Zr  0.7500  0.7500  0.8690  4 O 2.20

## Properties
total DFT energy (no corrections)	-6.53	eV/atom
space-group type	P4/nmm (129)

=====

No. 8
Crystalline B2AsIr at its relaxed geometry, computed with PBE-GGA.

a = 4.0740 Å, b = 4.0740 Å, c = 4.0740 Å
α = 60.00°, β = 60.00°, γ = 60.00°
Last column: nearest neighbours and their distance in Å.
Fractional positions:
Ir  0.5000  0.5000  0.5000  4 As 2.49, 4 B 2.49
B  0.0000  0.0000  0.0000  4 As 2.49, 4 B 2.49
B  0.2500  0.2500  0.2500  4 Ir 2.49, 4 B 2.49
As  0.7500  0.7500  0.7500  4 Ir 2.49, 4 B 2.49

## Properties
total DFT energy (no corrections)	-5.42	eV/atom
space-group type	F-43m (216)

=====

No. 9
Crystalline LiGaFeMo at its relaxed geometry, computed with PBE-GGA.

a = 4.2493 Å, b = 4.2493 Å, c = 4.2493 Å
α = 60.00°, β = 60.00°, γ = 60.00°
Last column: nearest neighbours and their distance in Å.
Fractional positions:
Ga  0.0000  0.0000  0.0000  4 Fe 2.60, 4 Mo 2.60
Li  0.5000  0.5000  0.5000  4 Mo 2.60, 4 Fe 2.60
Fe  0.7500  0.7500  0.7500  4 Li 2.60, 4 Ga 2.60
Mo  0.2500  0.2500  0.2500  4 Li 2.60, 4 Ga 2.60

## Properties
total DFT energy (no corrections)	-5.74	eV/atom
space-group type	F-43m (216)

=====

No. 10
Crystalline Pr4BI2BrCl2 at its relaxed geometry, computed with PBE-GGA.

a = 9.8168 Å, b = 9.8168 Å, c = 8.5380 Å
α = 100.03°, β = 100.03°, γ = 24.27°
Last column: nearest neighbours and their distance in Å.
Fractional positions:
Pr  0.9977  0.9977  0.7136  2 B 2.76, 1 Cl 2.89
B  0.5000  0.5000  0.5000  6 Pr 2.65-2.76
Pr  0.0023  0.0023  0.2864  2 B 2.76, 1 Cl 2.89
Pr  0.3601  0.3601  0.4256  1 B 2.65, 2 Cl 2.86
Pr  0.6399  0.6399  0.5744  1 B 2.65, 2 Cl 2.86
Br  0.5000  0.5000  0.0000  4 Pr 3.19
I  0.1752  0.1752  0.3052  4 Pr 3.25-3.52
I  0.8248  0.8248  0.6948  4 Pr 3.25-3.52
Cl  0.1497  0.1497  0.8088  3 Pr 2.86-2.89
Cl  0.8503  0.8503  0.1912  3 Pr 2.86-2.89

## Properties
total DFT energy (no corrections)	-4.81	eV/atom
space-group type	C2/m (12)

=====

No. 11
Crystalline KLuSO at its relaxed geometry, computed with PBE-GGA.

a = 3.9755 Å, b = 3.9755 Å, c = 9.6816 Å
α = 90.00°, β = 90.00°, γ = 90.00°
Last column: nearest neighbours and their distance in Å.
Fractional positions:
K  0.7500  0.2500  0.5000  4 K 2.81, 4 S 2.97
O  0.2500  0.7500  0.0000  4 Lu 2.21
Lu  0.7500  0.7500  0.8995  4 O 2.21
O  0.7500  0.2500  0.0000  4 Lu 2.21
S  0.7500  0.7500  0.2719  4 K 2.97, 4 Lu 3.26, 4 O 3.30
Lu  0.2500  0.2500  0.1005  4 O 2.21
K  0.2500  0.7500  0.5000  4 K 2.81, 4 S 2.97
S  0.2500  0.2500  0.7281  4 K 2.97, 4 Lu 3.26, 4 O 3.30

## Properties
total DFT energy (no corrections)	-5.70	eV/atom
space-group type	P4/nmm (129)

=====

No. 12
Crystalline NaNiAgTe2Se at its relaxed geometry, computed with PBE-GGA.

a = 6.9076 Å, b = 6.9076 Å, c = 10.7406 Å
α = 90.00°, β = 90.00°, γ = 147.34°
Last column: nearest neighbours and their distance in Å.
Fractional positions:
Ag  0.9310  0.0690  0.7500  2 Se 2.66, 2 Te 2.70
Te  0.1306  0.8694  0.4899  2 Ni 2.60, 1 Ag 2.70
Ag  0.0690  0.9310  0.2500  2 Se 2.66, 2 Te 2.70
Ni  0.5000  0.5000  0.0000  4 Te 2.60, 2 Se 2.83
Ni  0.5000  0.5000  0.5000  4 Te 2.60, 2 Se 2.83
Na  0.2473  0.7527  0.7500  2 Se 3.07, 2 Ag 3.12, 2 Te 3.19
Se  0.5684  0.4316  0.7500  2 Ag 2.66, 2 Ni 2.83
Te  0.8694  0.1306  0.5101  2 Ni 2.60, 1 Ag 2.70
Se  0.4316  0.5684  0.2500  2 Ag 2.66, 2 Ni 2.83
Te  0.1306  0.8694  0.0101  2 Ni 2.60, 1 Ag 2.70
Te  0.8694  0.1306  0.9899  2 Ni 2.60, 1 Ag 2.70
Na  0.7527  0.2473  0.2500  2 Se 3.07, 2 Ag 3.12, 2 Te 3.19

## Properties
total DFT energy (no corrections)	-3.46	eV/atom
space-group type	Cmcm (63)

=====

No. 13
Crystalline SrNi2Sb2 at its relaxed geometry, computed with PBE-GGA.

a = 6.2608 Å, b = 6.2608 Å, c = 6.2608 Å
α = 138.47°, β = 138.47°, γ = 60.19°
Last column: nearest neighbours and their distance in Å.
Fractional positions:
Sb  0.3605  0.3605  0.0000  4 Ni 2.52
Sr  0.0000  0.0000  0.0000  8 Sb 3.48, 8 Ni 3.50
Sb  0.6395  0.6395  0.0000  4 Ni 2.52
Ni  0.7500  0.2500  0.5000  4 Sb 2.52
Ni  0.2500  0.7500  0.5000  4 Sb 2.52

## Properties
total DFT energy (no corrections)	-4.75	eV/atom
space-group type	I4/mmm (139)

=====

No. 14
Crystalline PrHo2P3 at its relaxed geometry, computed with PBE-GGA.

a = 4.0593 Å, b = 4.0593 Å, c = 9.9352 Å
α = 90.00°, β = 90.00°, γ = 120.00°
Last column: nearest neighbours and their distance in Å.
Fractional positions:
P  0.6667  0.3333  0.6781  3 Ho 2.84, 3 Pr 2.94
Ho  0.6667  0.3333  0.1612  6 P 2.84
Pr  0.0000  0.0000  0.5000  6 P 2.94
P  0.0000  0.0000  0.0000  6 Ho 2.84
P  0.3333  0.6667  0.3219  3 Ho 2.84, 3 Pr 2.94
Ho  0.3333  0.6667  0.8388  6 P 2.84

## Properties
total DFT energy (no corrections)	-6.60	eV/atom
space-group type	P-3m1 (164)

=====

No. 15
Crystalline TbPPdO at its relaxed geometry, computed with PBE-GGA.

a = 5.6463 Å, b = 5.6463 Å, c = 4.5152 Å
α = 90.00°, β = 90.00°, γ = 90.00°
Last column: nearest neighbours and their distance in Å.
Fractional positions:
O  0.0000  0.0000  0.0000  2 Tb 2.26
Tb  0.5000  0.5000  0.5000  2 O 2.26
Tb  0.0000  0.0000  0.5000  2 O 2.26
Pd  0.0000  0.5000  0.0055  2 P 2.26
P  0.0000  0.5000  0.5057  2 Pd 2.26
Pd  0.5000  0.0000  0.9945  2 P 2.26
O  0.5000  0.5000  0.0000  2 Tb 2.26
P  0.5000  0.0000  0.4943  2 Pd 2.26

## Properties
total DFT energy (no corrections)	-6.16	eV/atom
space-group type	P4/nmm (129)

=====

No. 16
Crystalline YHoCu2Si2 at its relaxed geometry, computed with PBE-GGA.

a = 4.1275 Å, b = 4.1275 Å, c = 7.5023 Å
α = 90.00°, β = 90.00°, γ = 120.00°
Last column: nearest neighbours and their distance in Å.
Fractional positions:
Si  0.6667  0.3333  0.2515  3 Cu 2.38
Cu  0.6667  0.3333  0.7482  3 Si 2.38
Si  0.3333  0.6667  0.7485  3 Cu 2.38
Y  0.0000  0.0000  0.0000  6 Si 3.04, 6 Cu 3.04
Cu  0.3333  0.6667  0.2518  3 Si 2.38
Ho  0.0000  0.0000  0.5000  6 Cu 3.02, 6 Si 3.03

## Properties
total DFT energy (no corrections)	-5.56	eV/atom
space-group type	P-3m1 (164)

=====

No. 17
Crystalline TbDy at its relaxed geometry, computed with PBE-GGA.

a = 4.5607 Å, b = 4.5607 Å, c = 4.5607 Å
α = 60.00°, β = 60.00°, γ = 60.00°
Last column: nearest neighbours and their distance in Å.
Fractional positions:
Dy  0.0000  0.0000  0.0000  6 Tb 3.22
Tb  0.5000  0.5000  0.5000  6 Dy 3.22

## Properties
total DFT energy (no corrections)	-3.84	eV/atom
space-group type	Fm-3m (225)
formation energy	0.77	eV per atom

=====

No. 18
Crystalline Gd2CI at its relaxed geometry, computed with PBE-GGA.

a = 3.7949 Å, b = 3.7949 Å, c = 14.9298 Å
α = 90.00°, β = 90.00°, γ = 120.00°
Last column: nearest neighbours and their distance in Å.
Fractional positions:
Gd  0.0000  0.0000  0.3361  3 C 2.54
C  0.6667  0.3333  0.7500  6 Gd 2.54
Gd  0.3333  0.6667  0.1634  3 C 2.54
I  0.0000  0.0000  0.0000  6 Gd 3.28
Gd  0.3333  0.6667  0.8366  3 C 2.54
C  0.6667  0.3333  0.2500  6 Gd 2.54
I  0.3333  0.6667  0.5000  6 Gd 3.28
Gd  0.0000  0.0000  0.6639  3 C 2.54

## Properties
total DFT energy (no corrections)	-5.78	eV/atom
space-group type	P6_3/mmc (194)

=====

No. 19
Crystalline HoTmAl2Ni4 at its relaxed geometry, computed with PBE-GGA.

a = 4.1303 Å, b = 4.1303 Å, c = 8.7713 Å
α = 90.00°, β = 90.00°, γ = 120.00°
Last column: nearest neighbours and their distance in Å.
Fractional positions:
Ni  0.0000  0.0000  0.8178  3 Al 2.45, 3 Ni 2.65
Ni  0.0000  0.0000  0.1822  3 Al 2.45, 3 Ni 2.65
Tm  0.6667  0.3333  0.0000  8 Ni 2.75-2.87
Ni  0.6667  0.3333  0.3132  3 Al 2.45, 3 Ni 2.65, 1 Tm 2.75
Ho  0.0000  0.0000  0.5000  8 Ni 2.79-2.89
Al  0.3333  0.6667  0.2477  6 Ni 2.45
Al  0.3333  0.6667  0.7523  6 Ni 2.45
Ni  0.6667  0.3333  0.6868  3 Al 2.45, 3 Ni 2.65, 1 Tm 2.75

## Properties
total DFT energy (no corrections)	-5.46	eV/atom
space-group type	P-6m2 (187)

=====

No. 20
Crystalline Hf2BrN2 at its relaxed geometry, computed with PBE-GGA.

a = 8.7108 Å, b = 8.7108 Å, c = 8.7108 Å
α = 152.13°, β = 152.13°, γ = 39.83°
Last column: nearest neighbours and their distance in Å.
Fractional positions:
Br  0.3973  0.3973  0.0000  4 Hf 2.69, 4 N 3.00
N  0.0767  0.0767  0.0000  1 Hf 2.10
N  0.9233  0.9233  0.0000  1 Hf 2.10
Hf  0.0000  0.5000  0.5000  4 N 2.45, 4 Br 2.69
Hf  0.5000  0.0000  0.5000  4 N 2.45, 4 Br 2.69
N  0.7500  0.2500  0.5000  4 Hf 2.23
N  0.2500  0.7500  0.5000  4 Hf 2.23
Hf  0.7953  0.7953  0.0000  5 N 2.10-2.23
Br  0.6027  0.6027  0.0000  4 Hf 2.69, 4 N 3.00
Hf  0.2047  0.2047  0.0000  5 N 2.10-2.23

## Properties
total DFT energy (no corrections)	-8.66	eV/atom
space-group type	I4/mmm (139)